# KV2GaO8

A relaxed KV2GaO8 crystal (PBE+U, the Alexandria database).

It has space group P-3 (No. 147), with a = 5.6346 Å, b = 5.6346 Å, c = 7.3969 Å, α = 90.00°, β = 90.00° and γ = 120.00°. The inequivalent atoms are K at (0.0000, 0.0000, 0.0000), V at (0.3333, 0.6667, 0.7273), Ga at (0.0000, 0.0000, 0.5000), O at (0.1612, 0.3244, 0.6560) and O at (0.3333, 0.6667, 0.9558).

Its calculated total energy is -6.45 eV per atom. The spin magnetization comes out at 2.0 μB per cell. Its volume is 203.4 Å³/cell.